# 1
# Pr3Sm5Mg2 | Alexandria | PBE | optimized geometry
data_Pr3Sm5Mg2
_symmetry_space_group_name_H-M 'I b a m'
_symmetry_Int_Tables_number 72
_symmetry_space_group_name_Hall '-I 2 2c'
_cell_length_a 13.1416
_cell_length_b 15.9443
_cell_length_c 6.5507
_cell_angle_alpha 90.00
_cell_angle_beta 90.00
_cell_angle_gamma 90.00
loop_
_atom_site_label
_atom_site_fract_x
_atom_site_fract_y
_atom_site_fract_z
Pr1 0.0000 0.0000 0.2500
Pr2 0.1034 0.2624 0.0000
Sm1 0.0000 0.5000 0.2500
Sm2 0.1488 0.3392 0.5000
Sm3 0.2494 0.5000 0.2500
Mg1 0.1358 0.1499 0.5000
# DOS(E_F): 1.418 states/eV/atom
# M_tot: 0.00 Bohr magnetons per cell
# DFT formation energy: 0.25 eV per atom
# Crystal system: orthorhombic

***

# 2
# Pr3Sm2Mg2 | Alexandria | PBE | optimized geometry
data_Pr3Sm2Mg2
_symmetry_space_group_name_H-M 'C m m m'
_symmetry_Int_Tables_number 65
_symmetry_space_group_name_Hall '-C 2 2'
_cell_length_a 3.8559
_cell_length_b 31.4534
_cell_length_c 3.7576
_cell_angle_alpha 90.00
_cell_angle_beta 90.00
_cell_angle_gamma 90.00
loop_
_atom_site_label
_atom_site_fract_x
_atom_site_fract_y
_atom_site_fract_z
Pr1 0.0000 0.0000 0.0000
Pr2 0.0000 0.4177 0.5000
Sm1 0.0000 0.2946 0.5000
Mg1 0.0000 0.1452 0.0000
# DOS(E_F): 0.992 states/eV/atom
# M_tot: 0.00 Bohr magnetons per cell
# DFT formation energy: 0.04 eV per atom
# Crystal system: orthorhombic

***

# 3
# Pr8Sm3Mg | Alexandria | PBE | optimized geometry
data_Pr8Sm3Mg
_symmetry_space_group_name_H-M 'C 1 m 1'
_symmetry_Int_Tables_number 8
_cell_length_a 19.9731
_cell_length_b 3.5382
_cell_length_c 12.4384
_cell_angle_alpha 90.00
_cell_angle_beta 105.73
_cell_angle_gamma 90.00
loop_
_symmetry_equiv_pos_as_xyz
'x,y,z'
'x,-y,z'
'x+1/2,y+1/2,z'
'x+1/2,-y+1/2,z'
loop_
_atom_site_label
_atom_site_fract_x
_atom_site_fract_y
_atom_site_fract_z
Pr1 0.0000 0.0000 0.0000
Pr2 0.0088 0.5000 0.7427
Pr3 0.0607 0.5000 0.4986
Pr4 0.1840 0.0000 0.7409
Pr5 0.2370 0.5000 0.5048
Pr6 0.2819 0.5000 0.2529
Pr7 0.3283 0.0000 0.0158
Pr8 0.4531 0.5000 0.2532
Sm1 0.1056 0.5000 0.2439
Sm2 0.1604 0.5000 0.9897
Sm3 0.3510 0.5000 0.7693
Mg1 0.4078 0.5000 0.5108
# DOS(E_F): 1.512 states/eV/atom
# M_tot: 0.00 Bohr magnetons per cell
# DFT formation energy: 0.13 eV per atom
# Crystal system: monoclinic

***

# 4
# Pr3Sm5Mg | Alexandria | PBE | optimized geometry
data_Pr3Sm5Mg
_symmetry_space_group_name_H-M 'C 1 2/m 1'
_symmetry_Int_Tables_number 12
_cell_length_a 11.4381
_cell_length_b 8.2398
_cell_length_c 13.7282
_cell_angle_alpha 90.00
_cell_angle_beta 91.16
_cell_angle_gamma 90.00
loop_
_symmetry_equiv_pos_as_xyz
'x,y,z'
'-x,-y,-z'
'-x,y,-z'
'x,-y,z'
'x+1/2,y+1/2,z'
'-x+1/2,-y+1/2,-z'
'-x+1/2,y+1/2,-z'
'x+1/2,-y+1/2,z'
loop_
_atom_site_label
_atom_site_fract_x
_atom_site_fract_y
_atom_site_fract_z
Pr1 0.0000 0.0000 0.0000
Pr2 0.0000 0.0000 0.5000
Pr3 0.1351 0.5000 0.0091
Pr4 0.2422 0.0000 0.3815
Sm1 0.0000 0.3274 0.5000
Sm2 0.0036 0.5000 0.7549
Sm3 0.2406 0.2238 0.1653
Sm4 0.2478 0.0000 0.6259
Mg1 0.0076 0.0000 0.7534
# DOS(E_F): 1.275 states/eV/atom
# M_tot: 0.00 Bohr magnetons per cell
# DFT formation energy: 0.34 eV per atom
# Crystal system: monoclinic

***

# 5
# PrSm2Mg4 | Alexandria | PBE | optimized geometry
data_PrSm2Mg4
_symmetry_space_group_name_H-M 'C m m m'
_symmetry_Int_Tables_number 65
_symmetry_space_group_name_Hall '-C 2 2'
_cell_length_a 6.0698
_cell_length_b 13.0785
_cell_length_c 5.6025
_cell_angle_alpha 90.00
_cell_angle_beta 90.00
_cell_angle_gamma 90.00
loop_
_atom_site_label
_atom_site_fract_x
_atom_site_fract_y
_atom_site_fract_z
Pr1 0.0000 0.0000 0.0000
Sm1 0.0000 0.3642 0.5000
Mg1 0.0000 0.1176 0.5000
Mg2 0.0000 0.2469 0.0000
# DOS(E_F): 0.893 states/eV/atom
# M_tot: 0.01 Bohr magnetons per cell
# DFT formation energy: 0.33 eV per atom
# Crystal system: orthorhombic

***

# 6
# Pr5Sm12Mg2 | Alexandria | PBE | optimized geometry
data_Pr5Sm12Mg2
_symmetry_space_group_name_H-M 'C 1 2/m 1'
_symmetry_Int_Tables_number 12
_cell_length_a 15.8551
_cell_length_b 9.3252
_cell_length_c 8.6697
_cell_angle_alpha 90.00
_cell_angle_beta 92.96
_cell_angle_gamma 90.00
loop_
_symmetry_equiv_pos_as_xyz
'x,y,z'
'-x,-y,-z'
'-x,y,-z'
'x,-y,z'
'x+1/2,y+1/2,z'
'-x+1/2,-y+1/2,-z'
'-x+1/2,y+1/2,-z'
'x+1/2,-y+1/2,z'
loop_
_atom_site_label
_atom_site_fract_x
_atom_site_fract_y
_atom_site_fract_z
Pr1 0.0000 0.0000 0.0000
Pr2 0.2069 0.5000 0.5270
Pr3 0.2323 0.0000 0.0702
Sm1 0.0565 0.5000 0.8386
Sm2 0.0741 0.0000 0.3798
Sm3 0.1284 0.3068 0.1832
Sm4 0.1436 0.1828 0.7377
Mg1 0.0000 0.3358 0.5000
# DOS(E_F): 1.353 states/eV/atom
# M_tot: 0.00 Bohr magnetons per cell
# DFT formation energy: 0.08 eV per atom
# Crystal system: monoclinic